1.
A relaxed structure of U2AlC, computed with PBE.

POSCAR file:
```
U2AlC
1.0
2.971 0.000 0.000
0.000 2.971 0.000
0.000 0.000 7.529
U Al C
2 1 1
Direct
0.000 0.000 0.186 U
0.000 0.000 0.814 U
0.500 0.500 0.500 Al
0.500 0.500 0.000 C
```

Output
The calculation puts the formation energy from the elements at 105 meV per atom.



2.
A relaxed structure of CaSnAsSe2, computed with PBE.

POSCAR file:
```
CaSnAsSe2
1.0
5.362 0.000 0.000
0.000 5.362 0.000
0.000 0.000 5.152
Ca Sn As Se
1 1 1 2
Direct
0.000 0.000 0.000 Ca
0.500 0.500 0.500 Sn
0.500 0.500 0.000 As
0.000 0.500 0.500 Se
0.500 0.000 0.500 Se
```

Output
As for the energy above the lowest structure with this stoichiometry: 0 meV per atom. Its uncorrected formation energy is -223 meV per atom.



3.
A relaxed structure of TaMnSe3, computed with PBE.

POSCAR file:
```
TaMnSe3
1.0
7.388 0.000 0.000
0.000 3.574 0.000
-3.079 0.000 8.549
Ta Mn Se
2 2 6
Direct
0.242 0.250 0.484 Ta
0.758 0.750 0.516 Ta
0.376 0.250 0.806 Mn
0.624 0.750 0.194 Mn
0.025 0.250 0.662 Se
0.316 0.750 0.963 Se
0.393 0.750 0.340 Se
0.607 0.250 0.660 Se
0.684 0.250 0.037 Se
0.975 0.750 0.338 Se
```

Output
As for the energy above the lowest structure with this stoichiometry: 0 meV per atom. Its uncorrected formation energy is -364 meV per atom.



4.
A relaxed structure of MgSnHg, computed with PBE.

POSCAR file:
```
MgSnHg
1.0
3.383 0.000 0.000
0.000 3.283 0.000
-1.669 0.000 6.613
Mg Sn Hg
1 1 1
Direct
0.000 0.000 0.000 Mg
0.660 0.500 0.322 Sn
0.358 0.500 0.715 Hg
```

Output
The calculation puts the formation energy from the elements at -61 meV per atom.



Total moment across the listed records, respectively: 2.5 0.0 4.2 0.0 μB per cell.